(1)
# Tm3ThSc2Se6 | Alexandria via LeMat-Bulk | GGA-PBE | optimized geometry
data_Tm3ThSc2Se6
_cell_length_a 17.4102
_cell_length_b 3.9832
_cell_length_c 8.0938
_cell_angle_alpha 90.00
_cell_angle_beta 102.13
_cell_angle_gamma 90.00
_space_group_name_H-M_alt 'C 1 2/m 1'
_space_group_IT_number 12
loop_
_space_group_symop_operation_xyz
'x,y,z'
'-x,-y,-z'
'-x,y,-z'
'x,-y,z'
'x+1/2,y+1/2,z'
'-x+1/2,-y+1/2,-z'
'-x+1/2,y+1/2,-z'
'x+1/2,-y+1/2,z'
loop_
_atom_site_label
_atom_site_type_symbol
_atom_site_fract_x
_atom_site_fract_y
_atom_site_fract_z
Tm1 Tm 0.0000 0.0000 0.0000
Tm2 Tm 0.1585 0.5000 0.3337
Th1 Th 0.0000 0.0000 0.5000
Sc1 Sc 0.1627 0.5000 0.8280
Se1 Se 0.0051 0.5000 0.7678
Se2 Se 0.1707 0.0000 0.0796
Se3 Se 0.1754 0.0000 0.5957
# Electronic total energy = -6.13 eV per atom
# DOS at the Fermi energy = 0.603 states/eV per atom
# ΔE_f (raw) = -1.596 eV per atom

***

(2)
# Tm3Th4ScSe8 | Alexandria via LeMat-Bulk | GGA-PBE | optimized geometry
data_Tm3Th4ScSe8
_cell_length_a 7.9357
_cell_length_b 7.9357
_cell_length_c 21.3702
_cell_angle_alpha 90.00
_cell_angle_beta 90.00
_cell_angle_gamma 120.00
_space_group_name_H-M_alt 'R -3 m'
_space_group_IT_number 166
_space_group_name_Hall '-R 3 2"'
loop_
_atom_site_label
_atom_site_type_symbol
_atom_site_fract_x
_atom_site_fract_y
_atom_site_fract_z
Tm1 Tm 0.0000 0.5000 0.0000
Th1 Th 0.0000 0.0000 0.5000
Th2 Th 0.0000 0.5000 0.5000
Sc1 Sc 0.0000 0.0000 0.0000
Se1 Se 0.0000 0.0000 0.2573
Se2 Se 0.0050 0.5025 0.7417
# Electronic total energy = -6.43 eV per atom
# DOS at the Fermi energy = 0.511 states/eV per atom
# ΔE_f (raw) = -1.594 eV per atom

***

(3)
# Y3ThSc2Se6 | Alexandria via LeMat-Bulk | GGA-PBE | optimized geometry
data_Y3ThSc2Se6
_cell_length_a 17.5476
_cell_length_b 4.0205
_cell_length_c 8.1585
_cell_angle_alpha 90.00
_cell_angle_beta 102.13
_cell_angle_gamma 90.00
_space_group_name_H-M_alt 'C 1 2/m 1'
_space_group_IT_number 12
loop_
_space_group_symop_operation_xyz
'x,y,z'
'-x,-y,-z'
'-x,y,-z'
'x,-y,z'
'x+1/2,y+1/2,z'
'-x+1/2,-y+1/2,-z'
'-x+1/2,y+1/2,-z'
'x+1/2,-y+1/2,z'
loop_
_atom_site_label
_atom_site_type_symbol
_atom_site_fract_x
_atom_site_fract_y
_atom_site_fract_z
Y1 Y 0.0000 0.0000 0.0000
Y2 Y 0.1585 0.5000 0.3332
Th1 Th 0.0000 0.0000 0.5000
Sc1 Sc 0.1642 0.5000 0.8297
Se1 Se 0.0073 0.5000 0.7646
Se2 Se 0.1718 0.0000 0.0757
Se3 Se 0.1739 0.0000 0.5996
# Electronic total energy = -6.68 eV per atom
# DOS at the Fermi energy = 0.589 states/eV per atom
# ΔE_f (raw) = -1.645 eV per atom

***

(4)
# YTh2ScSe4 | Alexandria via LeMat-Bulk | GGA-PBE | optimized geometry
data_YTh2ScSe4
_cell_length_a 6.8512
_cell_length_b 3.9904
_cell_length_c 7.4828
_cell_angle_alpha 90.00
_cell_angle_beta 108.09
_cell_angle_gamma 90.00
_space_group_name_H-M_alt 'P 1 2/m 1'
_space_group_IT_number 10
loop_
_space_group_symop_operation_xyz
'x,y,z'
'-x,-y,-z'
'-x,y,-z'
'x,-y,z'
loop_
_atom_site_label
_atom_site_type_symbol
_atom_site_fract_x
_atom_site_fract_y
_atom_site_fract_z
Y1 Y 0.0000 0.0000 0.0000
Th1 Th 0.0000 0.5000 0.5000
Th2 Th 0.5000 0.0000 0.5000
Sc1 Sc 0.5000 0.5000 0.0000
Se1 Se 0.2514 0.5000 0.2285
Se2 Se 0.2666 0.0000 0.7761
# Electronic total energy = -6.79 eV per atom
# DOS at the Fermi energy = 0.778 states/eV per atom
# ΔE_f (raw) = -1.589 eV per atom

***

(5)
# YThSc2Se4 | Alexandria via LeMat-Bulk | GGA-PBE | optimized geometry
data_YThSc2Se4
_cell_length_a 6.9201
_cell_length_b 3.9635
_cell_length_c 7.0558
_cell_angle_alpha 90.00
_cell_angle_beta 108.88
_cell_angle_gamma 90.00
_space_group_name_H-M_alt 'P 1 2/m 1'
_space_group_IT_number 10
loop_
_space_group_symop_operation_xyz
'x,y,z'
'-x,-y,-z'
'-x,y,-z'
'x,-y,z'
loop_
_atom_site_label
_atom_site_type_symbol
_atom_site_fract_x
_atom_site_fract_y
_atom_site_fract_z
Y1 Y 0.0000 0.0000 0.0000
Th1 Th 0.5000 0.5000 0.0000
Sc1 Sc 0.0000 0.5000 0.5000
Sc2 Sc 0.5000 0.0000 0.5000
Se1 Se 0.2355 0.0000 0.7239
Se2 Se 0.2518 0.5000 0.2712
# Electronic total energy = -6.66 eV per atom
# DOS at the Fermi energy = 0.602 states/eV per atom
# ΔE_f (raw) = -1.597 eV per atom

***

(6)
# Y3Th4ScSe8 | Alexandria via LeMat-Bulk | GGA-PBE | optimized geometry
data_Y3Th4ScSe8
_cell_length_a 8.0316
_cell_length_b 8.0316
_cell_length_c 21.2566
_cell_angle_alpha 90.00
_cell_angle_beta 90.00
_cell_angle_gamma 120.00
_space_group_name_H-M_alt 'R -3 m'
_space_group_IT_number 166
_space_group_name_Hall '-R 3 2"'
loop_
_atom_site_label
_atom_site_type_symbol
_atom_site_fract_x
_atom_site_fract_y
_atom_site_fract_z
Y1 Y 0.0000 0.5000 0.0000
Th1 Th 0.0000 0.0000 0.5000
Th2 Th 0.0000 0.5000 0.5000
Sc1 Sc 0.0000 0.0000 0.0000
Se1 Se 0.0000 0.0000 0.2552
Se2 Se 0.0077 0.5039 0.7432
# Electronic total energy = -6.83 eV per atom
# DOS at the Fermi energy = 0.440 states/eV per atom
# ΔE_f (raw) = -1.623 eV per atom

***

(7)
# ScTiSe2 | Alexandria via LeMat-Bulk | GGA-PBE | optimized geometry
data_ScTiSe2
_cell_length_a 7.4758
_cell_length_b 4.3089
_cell_length_c 6.8334
_cell_angle_alpha 90.00
_cell_angle_beta 111.29
_cell_angle_gamma 90.00
_space_group_name_H-M_alt 'C 1 m 1'
_space_group_IT_number 8
loop_
_space_group_symop_operation_xyz
'x,y,z'
'x,-y,z'
'x+1/2,y+1/2,z'
'x+1/2,-y+1/2,z'
loop_
_atom_site_label
_atom_site_type_symbol
_atom_site_fract_x
_atom_site_fract_y
_atom_site_fract_z
Sc1 Sc 0.0000 0.0000 0.0000
Ti1 Ti 0.4860 0.0000 0.4533
Se1 Se 0.1212 0.5000 0.8621
Se2 Se 0.1386 0.0000 0.4101
# Electronic total energy = -6.26 eV per atom
# DOS at the Fermi energy = 0.947 states/eV per atom
# ΔE_f (raw) = -0.966 eV per atom
# Relative energy among the computed polymorphs = 0.278 eV per atom

***

(8)
# ScTiSe | Alexandria via LeMat-Bulk | GGA-PBE | optimized geometry
data_ScTiSe
_cell_length_a 3.6894
_cell_length_b 3.6894
_cell_length_c 8.8183
_cell_angle_alpha 90.00
_cell_angle_beta 90.00
_cell_angle_gamma 90.00
_space_group_name_H-M_alt 'P 4/n m m'
_space_group_IT_number 129
loop_
_space_group_symop_operation_xyz
'x,y,z'
'-x,-y,-z'
'-y+1/2,x,z'
'y+1/2,-x,-z'
'-x+1/2,-y+1/2,z'
'x+1/2,y+1/2,-z'
'y,-x+1/2,z'
'-y,x+1/2,-z'
'x+1/2,-y,-z'
'-x+1/2,y,z'
'-y,-x,-z'
'y,x,z'
'-x,y+1/2,-z'
'x,-y+1/2,z'
'y+1/2,x+1/2,-z'
'-y+1/2,-x+1/2,z'
loop_
_atom_site_label
_atom_site_type_symbol
_atom_site_fract_x
_atom_site_fract_y
_atom_site_fract_z
Sc1 Sc 0.2500 0.2500 0.2165
Ti1 Ti 0.2500 0.2500 0.5582
Se1 Se 0.2500 0.2500 0.8630
# Electronic total energy = -6.88 eV per atom
# DOS at the Fermi energy = 0.936 states/eV per atom
# ΔE_f (raw) = -0.974 eV per atom